The following is a PBE with a Hubbard U calculation of an optimized crystal structure of Li4V3Cr2Fe3O16, from Alexandria.

The structure in POSCAR format:
```
Li4V3Cr2Fe3O16
1.0
-3.809 0.770 -4.502
3.090 -5.013 0.457
-7.054 -3.665 5.341
Li V Cr Fe O
4 3 2 3 16
direct
0.668 0.336 0.108
0.002 0.003 0.004
0.994 0.987 0.504
0.339 0.678 0.605
0.661 0.827 0.285
0.832 0.664 0.788
0.167 0.827 0.285
0.665 0.330 0.517
0.331 0.662 0.015
0.834 0.173 0.787
0.340 0.173 0.787
0.168 0.335 0.290
0.825 0.147 0.399
0.523 0.046 0.660
0.680 0.360 0.897
0.993 0.986 0.691
0.996 0.993 0.189
0.322 0.147 0.399
0.961 0.499 0.661
0.538 0.499 0.661
0.163 0.327 0.902
0.832 0.665 0.392
0.488 0.530 0.161
0.042 0.530 0.161
0.338 0.677 0.397
0.670 0.820 0.895
0.480 0.960 0.160
0.149 0.820 0.895
```

VASP energy = -6.91 eV/atom
M_tot = 1.0 μB/cell